# Ho2Mg7

A geometry-optimized Ho2Mg7 structure (PBE, Alexandria). Values from VASP.

Geometry as Quantum ESPRESSO input:
```
&SYSTEM
  ibrav = 0, nat = 18, ntyp = 2
/
ATOMIC_SPECIES
Ho 164.93 Ho.upf
Mg 24.30 Mg.upf
ATOMIC_POSITIONS crystal
Ho 0.060 0.060 0.060
Ho 0.152 0.152 0.152
Ho 0.848 0.848 0.848
Ho 0.940 0.940 0.940
Mg 0.000 0.500 0.500
Mg 0.107 0.614 0.614
Mg 0.278 0.278 0.278
Mg 0.386 0.386 0.893
Mg 0.386 0.893 0.386
Mg 0.389 0.389 0.389
Mg 0.500 0.000 0.500
Mg 0.500 0.500 0.000
Mg 0.500 0.500 0.500
Mg 0.611 0.611 0.611
Mg 0.614 0.107 0.614
Mg 0.614 0.614 0.107
Mg 0.722 0.722 0.722
Mg 0.893 0.386 0.386
CELL_PARAMETERS angstrom
2.996 1.730 14.654
-2.996 1.730 14.654
0.000 -3.460 14.654
```

Summary:
DOS(E_F): 0.88 states/eV per atom
Magnetization: 0.0 μB/f.u.

# Ho3Mg8

A geometry-optimized Ho3Mg8 structure (PBE, Alexandria). Values from VASP.

Geometry as Quantum ESPRESSO input:
```
&SYSTEM
  ibrav = 0, nat = 11, ntyp = 2
/
ATOMIC_SPECIES
Ho 164.93 Ho.upf
Mg 24.30 Mg.upf
ATOMIC_POSITIONS crystal
Ho 0.000 0.000 0.000
Ho 0.452 0.452 0.452
Ho 0.548 0.548 0.548
Mg 0.088 0.088 0.088
Mg 0.176 0.176 0.176
Mg 0.272 0.272 0.272
Mg 0.363 0.363 0.363
Mg 0.637 0.637 0.637
Mg 0.728 0.728 0.728
Mg 0.824 0.824 0.824
Mg 0.912 0.912 0.912
CELL_PARAMETERS angstrom
2.588 1.494 11.766
-2.588 1.494 11.766
0.000 -2.988 11.766
```

Summary:
DOS(E_F): 0.61 states/eV per atom
Magnetization: 0.0 μB/f.u.

# Ho6MgMn2

A geometry-optimized Ho6MgMn2 structure (PBE, Alexandria). Values from VASP.

Geometry as Quantum ESPRESSO input:
```
&SYSTEM
  ibrav = 0, nat = 18, ntyp = 3
/
ATOMIC_SPECIES
Ho 164.93 Ho.upf
Mg 24.30 Mg.upf
Mn 54.94 Mn.upf
ATOMIC_POSITIONS crystal
Ho 0.010 0.230 0.781
Ho 0.190 0.286 0.475
Ho 0.190 0.714 0.904
Ho 0.309 0.016 0.706
Ho 0.309 0.603 0.294
Ho 0.449 0.230 0.219
Ho 0.551 0.770 0.781
Ho 0.691 0.397 0.706
Ho 0.691 0.984 0.294
Ho 0.810 0.286 0.096
Ho 0.810 0.714 0.525
Ho 0.990 0.770 0.219
Mg 0.000 0.000 0.000
Mg 0.500 0.500 0.000
Mn 0.104 0.604 0.500
Mn 0.386 0.000 0.386
Mn 0.614 0.000 0.614
Mn 0.896 0.396 0.500
CELL_PARAMETERS angstrom
-4.785 4.816 4.974
4.785 -4.816 4.974
4.785 4.816 -4.974
```

Summary:
DOS(E_F): 1.15 states/eV per atom
Magnetization: 1.7 μB/f.u.

# NdHoMgMn

A geometry-optimized NdHoMgMn structure (PBE, Alexandria). Values from VASP.

Geometry as Quantum ESPRESSO input:
```
&SYSTEM
  ibrav = 0, nat = 4, ntyp = 4
/
ATOMIC_SPECIES
Nd 144.24 Nd.upf
Ho 164.93 Ho.upf
Mg 24.30 Mg.upf
Mn 54.94 Mn.upf
ATOMIC_POSITIONS crystal
Nd 0.000 0.000 0.000
Ho 0.500 0.500 0.500
Mg 0.750 0.750 0.750
Mn 0.250 0.250 0.250
CELL_PARAMETERS angstrom
0.000 3.714 3.714
3.714 0.000 3.714
3.714 3.714 0.000
```

Summary:
DOS(E_F): 1.24 states/eV per atom
Magnetization: 3.2 μB/f.u.

DFT total energy across the listed records, respectively: -2.26; -2.46; -5.23; -4.92 eV/atom.
Energy relative to the elements across the listed records, respectively: 0.000; -0.053; 0.038; 0.111 eV per atom.